LiLa2Pb3Se6 after structural relaxation, computed with PBE-GGA.

- symmetry = No. 12
- ΔE_f (raw) (eV/atom) = -1.133

Cell: 9.711 9.711 8.581 Å, 104.31 104.31 26.64°
Fractional positions:
Li 0.000 0.000 0.000
La 0.338 0.338 0.680
La 0.662 0.662 0.320
Pb 0.000 0.000 0.500
Pb 0.338 0.338 0.152
Pb 0.662 0.662 0.848
Se 0.161 0.161 0.079
Se 0.171 0.171 0.569
Se 0.498 0.498 0.759
Se 0.502 0.502 0.241
Se 0.829 0.829 0.431
Se 0.839 0.839 0.921

=====

Ca2TaCd after structural relaxation, computed with PBE-GGA.

- symmetry = No. 71
- ΔE_f (eV per atom) = 0.580

Cell: 6.259 6.259 6.259 Å, 147.56 129.10 61.66°
Fractional positions:
Ca 0.241 0.241 0.000
Ca 0.759 0.759 0.000
Ta 0.500 0.000 0.500
Cd 0.000 0.500 0.500

=====

CaTlAsBr2 after structural relaxation, computed with PBE-GGA.

- distance to the lowest polymorph of the same formula (meV/atom) = 400.4
- symmetry = No. 123
- ΔE_f (raw) (eV/atom) = -0.301

Cell: 5.680 5.680 5.439 Å, 90.00 90.00 90.00°
Fractional positions:
Ca 0.000 0.000 0.000
Tl 0.500 0.500 0.500
As 0.500 0.500 0.000
Br 0.000 0.500 0.500
Br 0.500 0.000 0.500

=====

La3InRu after structural relaxation, computed with PBE-GGA.

- distance to the lowest polymorph of the same formula (meV/atom) = 70.8
- symmetry = No. 1
- ΔE_f (eV per atom) = -0.346

Cell: 6.720 6.945 7.239 Å, 101.40 94.60 113.20°
Fractional positions:
La 0.000 0.000 0.000
La 0.025 0.488 0.676
La 0.440 0.370 0.424
La 0.470 0.902 0.088
La 0.546 0.407 0.949
La 0.932 0.889 0.468
In 0.065 0.513 0.181
In 0.479 0.947 0.585
Ru 0.656 0.691 0.747
Ru 0.795 0.196 0.352

=====

Cd2HgRh2 after structural relaxation, computed with PBE-GGA.

- distance to the lowest polymorph of the same formula (meV/atom) = 181.4
- symmetry = No. 127
- ΔE_f (eV per atom) = 0.138

Cell: 7.671 7.671 3.160 Å, 90.00 90.00 90.00°
Fractional positions:
Cd 0.137 0.363 0.000
Cd 0.363 0.863 0.000
Cd 0.637 0.137 0.000
Cd 0.863 0.637 0.000
Hg 0.000 0.000 0.000
Hg 0.500 0.500 0.000
Rh 0.159 0.659 0.500
Rh 0.341 0.159 0.500
Rh 0.659 0.841 0.500
Rh 0.841 0.341 0.500

=====

Ce2GaRh3 after structural relaxation, computed with PBE-GGA.

- distance to the lowest polymorph of the same formula (meV/atom) = 0.0
- symmetry = No. 166
- ΔE_f (eV per atom) = -0.839

Cell: 5.137 5.137 5.137 Å, 66.70 66.70 66.70°
Fractional positions:
Ce 0.126 0.126 0.126
Ce 0.874 0.874 0.874
Ga 0.500 0.500 0.500
Rh 0.000 0.500 0.500
Rh 0.500 0.000 0.500
Rh 0.500 0.500 0.000

=====

CeCo2P2Rh after structural relaxation, computed with PBE-GGA.

- symmetry = No. 164
- ΔE_f (eV per atom) = -0.776

Cell: 3.958 3.958 6.411 Å, 90.00 90.00 120.00°
Fractional positions:
Ce 0.000 0.000 0.000
Co 0.333 0.667 0.692
Co 0.667 0.333 0.308
P 0.333 0.667 0.304
P 0.667 0.333 0.696
Rh 0.000 0.000 0.500

=====

Ho6IO12 after structural relaxation, computed with PBE-GGA.

- symmetry = No. 148
- ΔE_f (raw) (eV/atom) = -2.957

Cell: 6.494 6.494 6.494 Å, 98.68 98.68 98.68°
Fractional positions:
Ho 0.111 0.645 0.819
Ho 0.181 0.889 0.355
Ho 0.355 0.181 0.889
Ho 0.645 0.819 0.111
Ho 0.819 0.111 0.645
Ho 0.889 0.355 0.181
I 0.500 0.500 0.500
O 0.068 0.322 0.909
O 0.091 0.932 0.678
O 0.194 0.538 0.430
O 0.322 0.909 0.068
O 0.430 0.194 0.538
O 0.462 0.570 0.806
O 0.538 0.430 0.194
O 0.570 0.806 0.462
O 0.678 0.091 0.932
O 0.806 0.462 0.570
O 0.909 0.068 0.322
O 0.932 0.678 0.091

=====

Mass density for the records above, in order: 6.53, 6.13, 4.53, 7.01, 11.27, 9.97, 8.07, 8.25 g/cm3